1.
# Tb2BIr3 (PBE-GGA, relaxed)
# formation energy = -0.15 eV per atom
# crystal system = orthorhombic
# space-group type = Immm
data_Tb2BIr3
_chemical_formula_sum 'Tb2 B1 Ir3'
_space_group_name_H-M_alt 'P 1'
_space_group_IT_number 1
_cell_length_a 3.2129
_cell_length_b 5.3218
_cell_length_c 7.0970
_cell_angle_alpha 112.02
_cell_angle_beta 103.08
_cell_angle_gamma 90.00
loop_
_space_group_symop_operation_xyz
'x,y,z'
loop_
_atom_site_label
_atom_site_type_symbol
_atom_site_fract_x
_atom_site_fract_y
_atom_site_fract_z
_atom_site_occupancy
Tb1 Tb 0.6850 0.1850 0.3700 1
Tb2 Tb 0.3150 0.8150 0.6300 1
B1 B 0.0000 0.5000 0.0000 1
Ir1 Ir 0.3896 0.3896 0.7792 1
Ir2 Ir 0.0000 0.0000 0.0000 1
Ir3 Ir 0.6104 0.6104 0.2208 1

=====

2.
# PaTi2C2 (PBE-GGA, relaxed)
# formation energy = -0.29 eV per atom
# crystal system = monoclinic
# space-group type = C2/c
data_PaTi2C2
_chemical_formula_sum 'Pa2 Ti4 C4'
_space_group_name_H-M_alt 'P 1'
_space_group_IT_number 1
_cell_length_a 5.6977
_cell_length_b 5.6977
_cell_length_c 5.7267
_cell_angle_alpha 113.58
_cell_angle_beta 113.58
_cell_angle_gamma 100.92
loop_
_space_group_symop_operation_xyz
'x,y,z'
loop_
_atom_site_label
_atom_site_type_symbol
_atom_site_fract_x
_atom_site_fract_y
_atom_site_fract_z
_atom_site_occupancy
Pa1 Pa 0.8746 0.6254 0.7500 1
Pa2 Pa 0.1254 0.3746 0.2500 1
Ti1 Ti 0.2350 0.9838 0.4706 1
Ti2 Ti 0.4838 0.7350 0.9706 1
Ti3 Ti 0.7650 0.0162 0.5294 1
Ti4 Ti 0.5162 0.2650 0.0294 1
C1 C 0.1607 0.3393 0.7500 1
C2 C 0.4099 0.0901 0.2500 1
C3 C 0.5901 0.9099 0.7500 1
C4 C 0.8393 0.6607 0.2500 1

=====

3.
# TiTlSeBr2 (PBE-GGA, relaxed)
# E_form (uncorrected) = 0.466 eV/atom
# crystal system = tetragonal
# space-group type = P4/mmm
data_TiTlSeBr2
_chemical_formula_sum 'Ti1 Tl1 Se1 Br2'
_space_group_name_H-M_alt 'P 1'
_space_group_IT_number 1
_cell_length_a 5.6302
_cell_length_b 5.6302
_cell_length_c 5.3868
_cell_angle_alpha 90.00
_cell_angle_beta 90.00
_cell_angle_gamma 90.00
loop_
_space_group_symop_operation_xyz
'x,y,z'
loop_
_atom_site_label
_atom_site_type_symbol
_atom_site_fract_x
_atom_site_fract_y
_atom_site_fract_z
_atom_site_occupancy
Tl1 Tl 0.0000 0.0000 0.0000 1
Se1 Se 0.0000 0.0000 0.5000 1
Br1 Br 0.0000 0.5000 0.0000 1
Br2 Br 0.5000 0.0000 0.0000 1
Ti1 Ti 0.5000 0.5000 0.5000 1

=====

4.
# Ac4Ga5Ru2 (PBE-GGA, relaxed)
# formation energy = -0.38 eV per atom
# crystal system = monoclinic
# space-group type = P2/m
data_Ac4Ga5Ru2
_chemical_formula_sum 'Ac4 Ga5 Ru2'
_space_group_name_H-M_alt 'P 1'
_space_group_IT_number 1
_cell_length_a 4.5531
_cell_length_b 7.2280
_cell_length_c 9.0602
_cell_angle_alpha 83.99
_cell_angle_beta 90.00
_cell_angle_gamma 90.00
loop_
_space_group_symop_operation_xyz
'x,y,z'
loop_
_atom_site_label
_atom_site_type_symbol
_atom_site_fract_x
_atom_site_fract_y
_atom_site_fract_z
_atom_site_occupancy
Ac1 Ac 0.5000 0.7493 0.6270 1
Ac2 Ac 0.5000 0.2144 0.8418 1
Ac3 Ac 0.5000 0.2507 0.3730 1
Ac4 Ac 0.5000 0.7856 0.1582 1
Ga1 Ga 0.0000 0.6066 0.3790 1
Ga2 Ga 0.0000 0.1310 0.1160 1
Ga3 Ga 0.0000 0.5000 0.0000 1
Ga4 Ga 0.0000 0.8690 0.8840 1
Ga5 Ga 0.0000 0.3934 0.6210 1
Ru1 Ru 0.0000 0.0430 0.6268 1
Ru2 Ru 0.0000 0.9570 0.3732 1

=====

5.
# KBa3 (PBE-GGA, relaxed)
# formation energy = 0.05 eV per atom
# crystal system = orthorhombic
# space-group type = Cmmm
data_KBa3
_chemical_formula_sum 'K1 Ba3'
_space_group_name_H-M_alt 'P 1'
_space_group_IT_number 1
_cell_length_a 4.3633
_cell_length_b 4.3633
_cell_length_c 14.7204
_cell_angle_alpha 90.00
_cell_angle_beta 90.00
_cell_angle_gamma 110.72
loop_
_space_group_symop_operation_xyz
'x,y,z'
loop_
_atom_site_label
_atom_site_type_symbol
_atom_site_fract_x
_atom_site_fract_y
_atom_site_fract_z
_atom_site_occupancy
K1 K 0.5000 0.5000 0.2500 1
Ba1 Ba 0.0000 0.0000 0.9913 1
Ba2 Ba 0.5000 0.5000 0.7500 1
Ba3 Ba 0.0000 0.0000 0.5087 1

=====

6.
# ZnGa5Ru6 (PBE-GGA, relaxed)
# formation energy = -0.24 eV per atom
# crystal system = orthorhombic
# space-group type = Cmmm
data_ZnGa5Ru6
_chemical_formula_sum 'Zn1 Ga5 Ru6'
_space_group_name_H-M_alt 'P 1'
_space_group_IT_number 1
_cell_length_a 4.2850
_cell_length_b 6.0501
_cell_length_c 6.7843
_cell_angle_alpha 90.00
_cell_angle_beta 108.39
_cell_angle_gamma 90.00
loop_
_space_group_symop_operation_xyz
'x,y,z'
loop_
_atom_site_label
_atom_site_type_symbol
_atom_site_fract_x
_atom_site_fract_y
_atom_site_fract_z
_atom_site_occupancy
Ru1 Ru 0.8326 0.7498 0.6633 1
Ru2 Ru 0.8326 0.2502 0.6633 1
Ru3 Ru 0.5000 0.2553 0.0000 1
Ru4 Ru 0.5000 0.7447 0.0000 1
Ru5 Ru 0.1674 0.7498 0.3367 1
Ru6 Ru 0.1674 0.2502 0.3367 1
Zn1 Zn 0.0000 0.0000 0.0000 1
Ga1 Ga 0.6662 0.5000 0.3340 1
Ga2 Ga 0.3373 0.0000 0.6730 1
Ga3 Ga 0.0000 0.5000 0.0000 1
Ga4 Ga 0.6627 0.0000 0.3270 1
Ga5 Ga 0.3338 0.5000 0.6660 1

=====

| no. | final energy (eV per atom) | magnetic moment (μB/f.u.) |
| --- | --- | --- |
| 1 | -7.241 | 0.00 |
| 2 | -9.036 | 0.00 |
| 3 | -2.952 | 0.08 |
| 4 | -4.939 | 0.00 |
| 5 | -1.670 | 0.00 |
| 6 | -6.242 | 0.00 |